VASP calculation (PBE) on a geometry-optimized Sm3DyTm2Bi6 structure.

Unit cell a=10.065 b=10.065 c=9.004 alpha=102.81 beta=102.81 gamma=25.86
Element x y z (fractional)
1 Sm 0.000 0.000 0.000
2 Sm 0.334 0.334 0.667
3 Sm 0.666 0.666 0.333
4 Dy 0.000 0.000 0.500
5 Tm 0.333 0.333 0.167
6 Tm 0.667 0.667 0.833
7 Bi 0.166 0.166 0.589
8 Bi 0.169 0.169 0.078
9 Bi 0.498 0.498 0.253
10 Bi 0.502 0.502 0.747
11 Bi 0.831 0.831 0.922
12 Bi 0.834 0.834 0.411

Summary:
- Symmetry: C2/m
- Total energy: -5.114 eV per atom
- Calculated formation energy: -0.87 eV/atom
- Mass density: 9.5 g/cm3

=====

VASP calculation (PBE) on a geometry-optimized Sm2DyTm3Bi6 structure.

Unit cell a=10.018 b=10.018 c=8.963 alpha=102.82 beta=102.82 gamma=25.86
Element x y z (fractional)
1 Sm 0.166 0.166 0.333
2 Sm 0.834 0.834 0.667
3 Dy 0.500 0.500 0.000
4 Tm 0.168 0.168 0.834
5 Tm 0.500 0.500 0.500
6 Tm 0.832 0.832 0.166
7 Bi 0.002 0.002 0.749
8 Bi 0.333 0.333 0.923
9 Bi 0.335 0.335 0.412
10 Bi 0.665 0.665 0.588
11 Bi 0.667 0.667 0.077
12 Bi 0.998 0.998 0.251

Summary:
- Symmetry: C2/m
- Total energy: -5.069 eV per atom
- Calculated formation energy: -0.84 eV/atom
- Mass density: 9.7 g/cm3

=====

VASP calculation (PBE) on a geometry-optimized SmDyTm2Bi4 structure.

Unit cell a=7.748 b=4.480 c=7.753 alpha=90.00 beta=109.48 gamma=90.00
Element x y z (fractional)
1 Sm 0.000 0.000 0.000
2 Dy 0.000 0.500 0.500
3 Tm 0.500 0.000 0.500
4 Tm 0.500 0.500 0.000
5 Bi 0.255 0.000 0.749
6 Bi 0.257 0.500 0.255
7 Bi 0.743 0.500 0.745
8 Bi 0.745 0.000 0.251

Summary:
- Symmetry: P2/m
- Total energy: -5.058 eV per atom
- Calculated formation energy: -0.83 eV/atom
- Mass density: 9.7 g/cm3

=====

VASP calculation (PBE) on a geometry-optimized Sm2Dy3TmBi6 structure.

Unit cell a=10.052 b=10.052 c=8.994 alpha=102.89 beta=102.89 gamma=25.85
Element x y z (fractional)
1 Sm 0.166 0.166 0.333
2 Sm 0.834 0.834 0.667
3 Dy 0.168 0.168 0.834
4 Dy 0.500 0.500 0.500
5 Dy 0.832 0.832 0.166
6 Tm 0.500 0.500 0.000
7 Bi 0.002 0.002 0.753
8 Bi 0.334 0.334 0.414
9 Bi 0.335 0.335 0.922
10 Bi 0.665 0.665 0.078
11 Bi 0.666 0.666 0.586
12 Bi 0.998 0.998 0.247

Summary:
- Symmetry: C2/m
- Total energy: -5.116 eV per atom
- Calculated formation energy: -0.87 eV/atom
- Mass density: 9.5 g/cm3

=====

VASP calculation (PBE) on a geometry-optimized Sm2DyTmBi5 structure.

Unit cell a=5.373 b=5.373 c=11.900 alpha=90.00 beta=90.00 gamma=90.00
Element x y z (fractional)
1 Sm 0.000 0.000 0.228
2 Sm 0.000 0.000 0.772
3 Dy 0.500 0.500 0.500
4 Tm 0.500 0.500 0.000
5 Bi 0.000 0.000 0.500
6 Bi 0.000 0.500 0.000
7 Bi 0.500 0.000 0.000
8 Bi 0.500 0.500 0.253
9 Bi 0.500 0.500 0.747

Summary:
- Symmetry: P4/mmm
- Total energy: -4.305 eV per atom
- Calculated formation energy: -0.09 eV/atom
- Mass density: 8.1 g/cm3

=====

VASP calculation (PBE) on a geometry-optimized Sm3Dy2TmBi6 structure.

Unit cell a=10.081 b=10.081 c=9.020 alpha=102.84 beta=102.84 gamma=25.85
Element x y z (fractional)
1 Sm 0.000 0.000 0.000
2 Sm 0.333 0.333 0.667
3 Sm 0.667 0.667 0.333
4 Dy 0.334 0.334 0.167
5 Dy 0.666 0.666 0.833
6 Tm 0.000 0.000 0.500
7 Bi 0.164 0.164 0.586
8 Bi 0.168 0.168 0.080
9 Bi 0.499 0.499 0.255
10 Bi 0.501 0.501 0.745
11 Bi 0.832 0.832 0.920
12 Bi 0.836 0.836 0.414

Summary:
- Symmetry: C2/m
- Total energy: -5.138 eV per atom
- Calculated formation energy: -0.88 eV/atom
- Mass density: 9.4 g/cm3

=====

VASP calculation (PBE) on a geometry-optimized Sm2DyTmBi4 structure.

Unit cell a=7.803 b=4.510 c=7.807 alpha=90.00 beta=109.48 gamma=90.00
Element x y z (fractional)
1 Sm 0.000 0.000 0.000
2 Sm 0.000 0.500 0.500
3 Dy 0.500 0.000 0.500
4 Tm 0.500 0.500 0.000
5 Bi 0.257 0.500 0.251
6 Bi 0.258 0.000 0.754
7 Bi 0.742 0.000 0.246
8 Bi 0.743 0.500 0.749

Summary:
- Symmetry: P2/m
- Total energy: -5.125 eV per atom
- Calculated formation energy: -0.87 eV/atom
- Mass density: 9.4 g/cm3

=====

VASP calculation (PBE) on a geometry-optimized Sm3Dy2YBi6 structure.

Unit cell a=10.101 b=10.101 c=9.036 alpha=102.82 beta=102.82 gamma=25.86
Element x y z (fractional)
1 Sm 0.000 0.000 0.000
2 Sm 0.333 0.333 0.667
3 Sm 0.667 0.667 0.333
4 Dy 0.333 0.333 0.167
5 Dy 0.667 0.667 0.833
6 Y 0.000 0.000 0.500
7 Bi 0.166 0.166 0.586
8 Bi 0.168 0.168 0.080
9 Bi 0.499 0.499 0.253
10 Bi 0.501 0.501 0.747
11 Bi 0.832 0.832 0.920
12 Bi 0.834 0.834 0.414

Summary:
- Symmetry: C2/m
- Total energy: -5.324 eV per atom
- Calculated formation energy: -0.90 eV/atom
- Mass density: 9.0 g/cm3

=====

VASP calculation (PBE) on a geometry-optimized Sm3DyY2Bi6 structure.

Unit cell a=10.102 b=10.102 c=9.037 alpha=102.82 beta=102.82 gamma=25.86
Element x y z (fractional)
1 Sm 0.000 0.000 0.000
2 Sm 0.333 0.333 0.667
3 Sm 0.667 0.667 0.333
4 Dy 0.000 0.000 0.500
5 Y 0.333 0.333 0.167
6 Y 0.667 0.667 0.833
7 Bi 0.165 0.165 0.586
8 Bi 0.168 0.168 0.080
9 Bi 0.499 0.499 0.253
10 Bi 0.501 0.501 0.747
11 Bi 0.832 0.832 0.920
12 Bi 0.835 0.835 0.414

Summary:
- Symmetry: C2/m
- Total energy: -5.486 eV per atom
- Calculated formation energy: -0.90 eV/atom
- Mass density: 8.7 g/cm3

=====

VASP calculation (PBE) on a geometry-optimized Sm2Dy3YBi6 structure.

Unit cell a=10.072 b=10.072 c=9.010 alpha=102.85 beta=102.85 gamma=25.85
Element x y z (fractional)
1 Sm 0.166 0.166 0.333
2 Sm 0.834 0.834 0.667
3 Dy 0.167 0.167 0.833
4 Dy 0.500 0.500 0.500
5 Dy 0.833 0.833 0.167
6 Y 0.500 0.500 0.000
7 Bi 0.002 0.002 0.750
8 Bi 0.333 0.333 0.921
9 Bi 0.335 0.335 0.414
10 Bi 0.665 0.665 0.586
11 Bi 0.667 0.667 0.079
12 Bi 0.998 0.998 0.250

Summary:
- Symmetry: C2/m
- Total energy: -5.303 eV per atom
- Calculated formation energy: -0.89 eV/atom
- Mass density: 9.1 g/cm3

=====

VASP calculation (PBE) on a geometry-optimized Sm2DyYBi5 structure.

Unit cell a=5.427 b=5.427 c=11.896 alpha=90.00 beta=90.00 gamma=90.00
Element x y z (fractional)
1 Sm 0.000 0.000 0.227
2 Sm 0.000 0.000 0.773
3 Dy 0.500 0.500 0.000
4 Y 0.500 0.500 0.500
5 Bi 0.000 0.000 0.500
6 Bi 0.000 0.500 0.000
7 Bi 0.500 0.000 0.000
8 Bi 0.500 0.500 0.254
9 Bi 0.500 0.500 0.746

Summary:
- Symmetry: P4/mmm
- Total energy: -4.511 eV per atom
- Calculated formation energy: -0.08 eV/atom
- Mass density: 7.6 g/cm3

=====

VASP calculation (PBE) on a geometry-optimized Sm2DyY3Bi6 structure.

Unit cell a=7.811 b=7.811 c=7.802 alpha=99.60 beta=99.60 gamma=120.01
Element x y z (fractional)
1 Sm 0.166 0.834 0.000
2 Sm 0.834 0.166 0.000
3 Dy 0.500 0.500 0.000
4 Y 0.000 0.000 0.500
5 Y 0.332 0.668 0.500
6 Y 0.668 0.332 0.500
7 Bi 0.086 0.416 0.748
8 Bi 0.255 0.255 0.254
9 Bi 0.416 0.086 0.748
10 Bi 0.584 0.914 0.252
11 Bi 0.745 0.745 0.746
12 Bi 0.914 0.584 0.252

Summary:
- Symmetry: C2/m
- Total energy: -5.626 eV per atom
- Calculated formation energy: -0.90 eV/atom
- Mass density: 8.5 g/cm3